# SnGeAsHIr

SnGeAsHIr after structural relaxation (PBE, Alexandria).

Properties
DOS at the Fermi energy = 0.9 states/eV/f.u.
magnetic moment = 0.00 μB per formula unit
energy relative to the lowest polymorph listed for this composition = 0 meV/atom
raw total energy = -51.79 eV per cell

Unit cell a=5.4258 b=3.9821 c=8.5904 alpha=90.00 beta=100.16 gamma=90.00
Last column: nearest neighbours and their distance in Å.
Element x y z (fractional)
Ge (0.8129, 0.0000, 0.0309)  2 Ir 2.44, 1 As 2.46
Ge (0.8129, 0.5000, 0.5309)  2 Ir 2.44, 1 As 2.46
Ir (0.6462, 0.5000, 0.1396)  1 H 1.63
Ir (0.6462, 0.0000, 0.6396)  1 H 1.63
As (0.0689, 0.5000, 0.3213)  1 Ge 2.46, 1 Ir 2.54, 1 H 2.74
As (0.0689, 0.0000, 0.8213)  1 Ge 2.46, 1 Ir 2.54, 1 H 2.74
Sn (0.4403, 0.5000, 0.8184)  1 H 2.42
Sn (0.4403, 0.0000, 0.3184)  1 H 2.42
H (0.3426, 0.0000, 0.5821)  1 Ir 1.63
H (0.3426, 0.5000, 0.0821)  1 Ir 1.63

# KCdW2

KCdW2 after structural relaxation (PBE, Alexandria).

Properties
DOS at the Fermi energy = 3.1 states/eV/f.u.
formation energy from the elements = 0.7074 eV per atom
magnetic moment = 0.00 μB per formula unit
raw total energy = -25.09 eV per cell

Unit cell a=2.9096 b=2.9096 c=10.7669 alpha=90.00 beta=90.00 gamma=112.16
Last column: nearest neighbours and their distance in Å.
Element x y z (fractional)
K (0.5000, 0.5000, 0.7585)  6 K 2.91-3.25
W (0.5000, 0.5000, 0.2298)  2 W 2.57
W (0.0000, 0.0000, 0.0447)  2 W 2.57
Cd (0.0000, 0.0000, 0.4670)  6 Cd 2.91-3.25, 2 W 3.03

# Ti4C2O

Ti4C2O after structural relaxation (PBE, Alexandria).

Properties
DOS at the Fermi energy = 2.4 states/eV/f.u.
magnetic moment = 0.00 μB per formula unit
energy relative to the lowest polymorph listed for this composition = 0 meV/atom
energy relative to the elements, uncorrected = -1.252 eV/atom
raw total energy = -63.75 eV per cell

Unit cell a=3.0279 b=5.2618 c=5.8677 alpha=116.24 beta=104.95 gamma=90.00
Last column: nearest neighbours and their distance in Å.
Element x y z (fractional)
Ti (0.3644, 0.7049, 0.7289)  3 C 2.08-2.15, 2 O 2.21
Ti (0.6356, 0.2951, 0.2711)  3 C 2.08-2.15, 2 O 2.21
Ti (0.1309, 0.8102, 0.2618)  3 C 2.08-2.15, 1 O 2.13
Ti (0.8691, 0.1898, 0.7382)  3 C 2.08-2.15, 1 O 2.13
C (0.2617, 0.2607, 0.5234)  6 Ti 2.08-2.15
C (0.7383, 0.7393, 0.4766)  6 Ti 2.08-2.15
O (0.0000, 0.0000, 0.0000)  6 Ti 2.13-2.21

# AcPr4Y

AcPr4Y after structural relaxation (PBE, Alexandria).

Properties
DOS at the Fermi energy = 10.0 states/eV/f.u.
formation energy from the elements = 0.1588 eV per atom
magnetic moment = 0.00 μB per formula unit
energy relative to the lowest polymorph listed for this composition = 0 meV/atom
raw total energy = -57.47 eV per cell

Unit cell a=9.4989 b=6.0923 c=10.8255 alpha=89.79 beta=104.83 gamma=130.52
Last column: nearest neighbours and their distance in Å.
Element x y z (fractional)
Pr (0.5463, 0.2967, 0.5825)  7 Pr 3.48-3.68, 1 Ac 3.69, 1 Y 3.70
Pr (0.8732, 0.6236, 0.2307)  5 Pr 3.50-3.72, 3 Y 3.75-3.79, 3 Ac 3.78-3.89
Pr (0.0362, 0.7858, 0.5825)  7 Pr 3.48-3.68, 1 Ac 3.69, 1 Y 3.70
Pr (0.3575, 0.1071, 0.2307)  5 Pr 3.50-3.72, 3 Y 3.75-3.79, 3 Ac 3.78-3.89
Pr (0.1268, 0.3764, 0.7693)  5 Pr 3.50-3.72, 3 Y 3.75-3.79, 3 Ac 3.78-3.89
Pr (0.6425, 0.8929, 0.7693)  5 Pr 3.50-3.72, 3 Y 3.75-3.79, 3 Ac 3.78-3.89
Pr (0.9638, 0.2142, 0.4175)  7 Pr 3.48-3.68, 1 Ac 3.69, 1 Y 3.70
Pr (0.4537, 0.7033, 0.4175)  7 Pr 3.48-3.68, 1 Ac 3.69, 1 Y 3.70
Y (0.9507, 0.7007, 0.9015)  2 Ac 3.61, 2 Y 3.65, 8 Pr 3.70-3.79
Y (0.0493, 0.2993, 0.0985)  2 Ac 3.61, 2 Y 3.65, 8 Pr 3.70-3.79
Ac (0.4480, 0.1980, 0.8959)  2 Y 3.61, 8 Pr 3.69-3.89, 2 Ac 3.71
Ac (0.5520, 0.8020, 0.1041)  2 Y 3.61, 8 Pr 3.69-3.89, 2 Ac 3.71

# TlH2AuCl

TlH2AuCl after structural relaxation (PBE, Alexandria).

Properties
DOS at the Fermi energy = 0.7 states/eV/f.u.
magnetic moment = 0.00 μB per formula unit
raw total energy = -11.60 eV per cell

Unit cell a=3.8670 b=6.8856 c=3.8670 alpha=90.00 beta=90.00 gamma=90.00
Last column: nearest neighbours and their distance in Å.
Element x y z (fractional)
H (0.0000, 0.0000, 0.5000)  2 Cl 1.93
H (0.5000, 0.0000, 0.0000)  2 Cl 1.93
Tl (0.5000, 0.5000, 0.5000)  4 Au 2.73
Cl (0.0000, 0.0000, 0.0000)  4 H 1.93
Au (0.0000, 0.5000, 0.0000)  4 Tl 2.73

# NdY2S2

NdY2S2 after structural relaxation (PBE, Alexandria).

Properties
DOS at the Fermi energy = 3.4 states/eV/f.u.
magnetic moment = 0.88 μB per formula unit
energy relative to the elements, uncorrected = -1.589 eV/atom
raw total energy = -33.90 eV per cell

Unit cell a=3.9003 b=3.9003 c=9.9036 alpha=78.64 beta=78.64 gamma=60.00
Last column: nearest neighbours and their distance in Å.
Element x y z (fractional)
Nd (0.0000, 0.0000, 0.0000)  6 S 2.86
Y (0.2169, 0.2169, 0.3492)  3 S 2.76
Y (0.7831, 0.7831, 0.6508)  3 S 2.76
S (0.6055, 0.6055, 0.1835)  3 Y 2.76, 3 Nd 2.86
S (0.3945, 0.3945, 0.8165)  3 Y 2.76, 3 Nd 2.86

# Tb4Sm3Al

Tb4Sm3Al after structural relaxation (PBE, Alexandria).

Properties
DOS at the Fermi energy = 9.7 states/eV/f.u.
formation energy from the elements = -0.0826 eV per atom
magnetic moment = 0.00 μB per formula unit
raw total energy = -37.08 eV per cell

Unit cell a=3.5741 b=3.5741 c=19.2481 alpha=90.00 beta=90.00 gamma=90.00
Last column: nearest neighbours and their distance in Å.
Element x y z (fractional)
Sm (0.5000, 0.5000, 0.7666)  4 Sm 3.57, 8 Tb 3.60-3.63
Sm (0.5000, 0.5000, 0.2334)  4 Sm 3.57, 8 Tb 3.60-3.63
Sm (0.5000, 0.5000, 0.5000)  4 Sm 3.57, 8 Tb 3.61
Tb (0.0000, 0.0000, 0.6337)  4 Tb 3.57, 8 Sm 3.60-3.61
Tb (0.0000, 0.0000, 0.0982)  4 Al 3.16
Tb (0.0000, 0.0000, 0.9018)  4 Al 3.16
Tb (0.0000, 0.0000, 0.3663)  4 Tb 3.57, 8 Sm 3.60-3.61
Al (0.5000, 0.5000, 0.0000)  8 Tb 3.16

# PaB2Se6

PaB2Se6 after structural relaxation (PBE, Alexandria).

Properties
DOS at the Fermi energy = 5.5 states/eV/f.u.
magnetic moment = 0.00 μB per formula unit
energy relative to the elements, uncorrected = -0.385 eV/atom
raw total energy = -94.44 eV per cell

Unit cell a=6.4067 b=8.1332 c=8.1332 alpha=78.29 beta=74.07 gamma=74.07
Last column: nearest neighbours and their distance in Å.
Element x y z (fractional)
Pa (0.7500, 0.8229, 0.1771)  8 Se 2.81-3.03
Pa (0.2500, 0.1771, 0.8229)  8 Se 2.81-3.03
Se (0.3331, 0.0696, 0.1788)  1 B 2.08
Se (0.5174, 0.7387, 0.5509)  2 B 2.07-2.14
Se (0.1669, 0.8212, 0.9304)  1 B 2.08
Se (0.0174, 0.5509, 0.7387)  2 B 2.07-2.14
Se (0.9814, 0.8500, 0.4139)  1 B 2.05
Se (0.4814, 0.4139, 0.8500)  1 B 2.05
Se (0.0186, 0.1500, 0.5861)  1 B 2.05
Se (0.4826, 0.2613, 0.4491)  2 B 2.07-2.14
Se (0.9826, 0.4491, 0.2613)  2 B 2.07-2.14
Se (0.5186, 0.5861, 0.1500)  1 B 2.05
Se (0.8331, 0.1788, 0.0696)  1 B 2.08
Se (0.6669, 0.9304, 0.8212)  1 B 2.08
B (0.7809, 0.7613, 0.6383)  4 Se 2.05-2.14
B (0.2191, 0.2387, 0.3617)  4 Se 2.05-2.14
B (0.7191, 0.3617, 0.2387)  4 Se 2.05-2.14
B (0.2809, 0.6383, 0.7613)  4 Se 2.05-2.14

# CsPmOs2O8

CsPmOs2O8 after structural relaxation (PBE, Alexandria).

Properties
DOS at the Fermi energy = 0.1 states/eV/f.u.
magnetic moment = 4.01 μB per formula unit
energy relative to the elements, uncorrected = -1.512 eV/atom
raw total energy = -85.87 eV per cell

Unit cell a=5.6535 b=5.6535 c=9.9714 alpha=73.53 beta=73.53 gamma=60.00
Last column: nearest neighbours and their distance in Å.
Element x y z (fractional)
Os (0.2423, 0.2423, 0.2732)  4 O 1.78-1.82
Os (0.7577, 0.7577, 0.7268)  4 O 1.78-1.82
O (0.6949, 0.6949, 0.9153)  1 Os 1.78
O (0.7383, 0.5039, 0.6572)  1 Os 1.82
O (0.3051, 0.3051, 0.0847)  1 Os 1.78
O (0.8994, 0.4961, 0.3428)  1 Os 1.82
O (0.2617, 0.8994, 0.3428)  1 Os 1.82
O (0.4961, 0.2617, 0.3428)  1 Os 1.82
O (0.5039, 0.1006, 0.6572)  1 Os 1.82
O (0.1006, 0.7383, 0.6572)  1 Os 1.82
Pm (0.5000, 0.5000, 0.5000)  6 O 2.35
Cs (0.0000, 0.0000, 0.0000)  6 O 3.36

# Pm4Er3Rh4

Pm4Er3Rh4 after structural relaxation (PBE, Alexandria).

Properties
DOS at the Fermi energy = 7.9 states/eV/f.u.
formation energy from the elements = -0.5490 eV per atom
magnetic moment = 0.00 μB per formula unit
raw total energy = -68.14 eV per cell

Unit cell a=3.6513 b=8.9698 c=9.5267 alpha=118.08 beta=101.05 gamma=90.00
Last column: nearest neighbours and their distance in Å.
Element x y z (fractional)
Rh (0.5000, 0.7836, 0.0000)  2 Pm 2.82, 6 Er 3.12-3.13
Rh (0.2637, 0.7637, 0.5274)  2 Er 2.91, 6 Pm 2.97-3.06
Rh (0.5000, 0.2164, 0.0000)  2 Pm 2.82, 6 Er 3.12-3.13
Rh (0.7363, 0.2363, 0.4726)  2 Er 2.91, 6 Pm 2.97-3.06
Pm (0.6635, 0.8493, 0.3269)  4 Rh 2.82-3.06
Pm (0.6635, 0.4776, 0.3269)  4 Rh 2.82-3.06
Pm (0.3365, 0.5224, 0.6731)  4 Rh 2.82-3.06
Pm (0.3365, 0.1507, 0.6731)  4 Rh 2.82-3.06
Er (0.0000, 0.5000, 0.0000)  4 Rh 3.13
Er (0.9015, 0.9015, 0.8030)  6 Rh 2.91-3.12, 1 Er 3.23
Er (0.0985, 0.0985, 0.1970)  6 Rh 2.91-3.12, 1 Er 3.23